Entry 1:
Below is SrSmSb2Pd5 after structural relaxation, with properties calculated at the PBE-GGA level.

a b c (Å): 4.724 4.724 8.714
angles (deg): 90.00 90.00 90.00
Atoms (fractional coordinates):
Sr  0.000  0.000  0.000
Sm  0.000  0.000  0.500
Sb  0.500  0.500  0.337
Sb  0.500  0.500  0.663
Pd  0.000  0.500  0.220
Pd  0.000  0.500  0.780
Pd  0.500  0.000  0.220
Pd  0.500  0.000  0.780
Pd  0.500  0.500  0.000

uncorrected formation energy: -5.55 eV/f.u.


Entry 2:
Below is KTbBeO3 after structural relaxation, with properties calculated at the PBE-GGA level.

a b c (Å): 7.485 3.390 7.655
angles (deg): 90.00 106.06 90.00
Atoms (fractional coordinates):
K  0.215  0.250  0.186
K  0.785  0.750  0.814
Tb  0.168  0.250  0.657
Tb  0.832  0.750  0.343
Be  0.396  0.750  0.936
Be  0.604  0.250  0.064
O  0.146  0.750  0.454
O  0.180  0.750  0.865
O  0.470  0.250  0.864
O  0.530  0.750  0.136
O  0.820  0.250  0.135
O  0.854  0.250  0.546

uncorrected formation energy: -15.96 eV/f.u.


Entry 3:
Below is HgAsBr after structural relaxation, with properties calculated at the PBE-GGA level.

a b c (Å): 4.097 4.097 5.457
angles (deg): 90.00 90.00 120.00
Atoms (fractional coordinates):
Hg  0.000  0.000  0.000
As  0.667  0.333  0.241
Br  0.333  0.667  0.632

E above lowest polymorph: 1.380 eV/f.u.
uncorrected formation energy: 0.69 eV/f.u.


Entry 4:
Below is Li2AcYTe4 after structural relaxation, with properties calculated at the PBE-GGA level.

a b c (Å): 7.573 4.516 7.846
angles (deg): 90.00 110.10 90.00
Atoms (fractional coordinates):
Li  0.000  0.000  0.000
Li  0.000  0.500  0.500
Ac  0.500  0.000  0.500
Y  0.500  0.500  0.000
Te  0.233  0.500  0.227
Te  0.242  0.000  0.763
Te  0.758  0.000  0.237
Te  0.767  0.500  0.773

uncorrected formation energy: -10.49 eV/f.u.


Entry 5:
Below is CoCuNiPt after structural relaxation, with properties calculated at the PBE-GGA level.

a b c (Å): 4.151 4.151 4.151
angles (deg): 60.00 60.00 60.00
Atoms (fractional coordinates):
Co  0.000  0.000  0.000
Cu  0.500  0.500  0.500
Ni  0.750  0.750  0.750
Pt  0.250  0.250  0.250

energy of formation from the pure elements: 0.0577 eV/atom


Entry 6:
Below is BeNb2CdSn after structural relaxation, with properties calculated at the PBE-GGA level.

a b c (Å): 5.130 5.130 5.037
angles (deg): 90.00 90.00 90.00
Atoms (fractional coordinates):
Be  0.000  0.000  0.000
Nb  0.000  0.500  0.500
Nb  0.500  0.000  0.500
Cd  0.500  0.500  0.500
Sn  0.500  0.500  0.000

energy of formation from the pure elements: 2.0875 eV/atom


Entry 7:
Below is AgHPd3 after structural relaxation, with properties calculated at the PBE-GGA level.

a b c (Å): 2.934 2.934 18.458
angles (deg): 90.00 90.00 120.00
Atoms (fractional coordinates):
Ag  0.000  0.000  0.000
Ag  0.000  0.000  0.500
H  0.333  0.667  0.250
H  0.667  0.333  0.750
Pd  0.000  0.000  0.250
Pd  0.000  0.000  0.750
Pd  0.333  0.667  0.124
Pd  0.333  0.667  0.376
Pd  0.667  0.333  0.624
Pd  0.667  0.333  0.876

E above lowest polymorph: 0.440 eV/f.u.


Entry 8:
Below is MnFeCu2 after structural relaxation, with properties calculated at the PBE-GGA level.

a b c (Å): 5.269 5.269 5.269
angles (deg): 102.05 102.05 125.63
Atoms (fractional coordinates):
Mn  0.000  0.000  0.000
Mn  0.750  0.250  0.500
Fe  0.250  0.750  0.500
Fe  0.500  0.500  0.000
Cu  0.139  0.625  0.014
Cu  0.375  0.389  0.514
Cu  0.611  0.125  0.986
Cu  0.875  0.861  0.486

energy of formation from the pure elements: 0.7215 eV/atom


Entry 9:
Below is NaTlC after structural relaxation, with properties calculated at the PBE-GGA level.

a b c (Å): 3.577 6.237 6.727
angles (deg): 101.83 100.14 90.20
Atoms (fractional coordinates):
Na  0.000  0.000  0.000
Na  0.121  0.535  0.354
Tl  0.183  0.062  0.527
Tl  0.482  0.510  0.863
C  0.548  0.298  0.137
C  0.600  0.202  0.288

energy of formation from the pure elements: 0.3797 eV/atom


Entry 10:
Below is CaY2Ho3Bi6 after structural relaxation, with properties calculated at the PBE-GGA level.

a b c (Å): 10.056 10.056 9.008
angles (deg): 102.97 102.97 25.77
Atoms (fractional coordinates):
Ca  0.000  0.000  0.000
Y  0.334  0.334  0.668
Y  0.666  0.666  0.332
Ho  0.000  0.000  0.500
Ho  0.335  0.335  0.166
Ho  0.665  0.665  0.834
Bi  0.167  0.167  0.584
Bi  0.169  0.169  0.084
Bi  0.500  0.500  0.256
Bi  0.500  0.500  0.744
Bi  0.831  0.831  0.916
Bi  0.833  0.833  0.416

energy of formation from the pure elements: -0.8300 eV/atom


Entry 11:
Below is YCuSb2 after structural relaxation, with properties calculated at the PBE-GGA level.

a b c (Å): 4.684 4.684 4.203
angles (deg): 90.00 90.00 90.00
Atoms (fractional coordinates):
Y  0.000  0.000  0.000
Cu  0.500  0.500  0.000
Sb  0.000  0.500  0.500
Sb  0.500  0.000  0.500

E above lowest polymorph: 0.973 eV/f.u.
uncorrected formation energy: -1.51 eV/f.u.


Entry 12:
Below is Pm4PSBr2 after structural relaxation, with properties calculated at the PBE-GGA level.

a b c (Å): 7.083 4.139 7.593
angles (deg): 90.00 108.47 90.00
Atoms (fractional coordinates):
Pm  0.230  0.000  0.197
Pm  0.266  0.500  0.801
Pm  0.734  0.500  0.199
Pm  0.770  0.000  0.803
P  0.500  0.000  0.000
S  0.000  0.500  0.000
Br  0.000  0.000  0.500
Br  0.500  0.500  0.500

uncorrected formation energy: -12.37 eV/f.u.


Entry 13:
Below is Tb12CePm3 after structural relaxation, with properties calculated at the PBE-GGA level.

a b c (Å): 5.057 5.057 20.212
angles (deg): 90.00 90.00 90.00
Atoms (fractional coordinates):
Tb  0.000  0.000  0.000
Tb  0.000  0.000  0.250
Tb  0.000  0.000  0.500
Tb  0.000  0.000  0.750
Tb  0.000  0.500  0.123
Tb  0.000  0.500  0.374
Tb  0.000  0.500  0.626
Tb  0.000  0.500  0.877
Tb  0.500  0.000  0.123
Tb  0.500  0.000  0.374
Tb  0.500  0.000  0.626
Tb  0.500  0.000  0.877
Ce  0.500  0.500  0.000
Pm  0.500  0.500  0.248
Pm  0.500  0.500  0.500
Pm  0.500  0.500  0.752

energy of formation from the pure elements: 0.0285 eV/atom


Entry 14:
Below is Sr2ZnBO4 after structural relaxation, with properties calculated at the PBE-GGA level.

a b c (Å): 13.861 13.197 5.417
angles (deg): 85.44 71.64 22.93
Atoms (fractional coordinates):
Sr  0.069  0.069  0.681
Sr  0.319  0.319  0.931
Sr  0.681  0.681  0.069
Sr  0.931  0.931  0.319
Zn  0.125  0.125  0.125
Zn  0.875  0.875  0.875
B  0.375  0.375  0.375
B  0.625  0.625  0.625
O  0.064  0.624  0.493
O  0.319  0.493  0.624
O  0.376  0.936  0.681
O  0.493  0.319  0.064
O  0.507  0.681  0.936
O  0.624  0.064  0.319
O  0.681  0.507  0.376
O  0.936  0.376  0.507

uncorrected formation energy: -15.13 eV/f.u.


Entry 15:
Below is ZnRu2Rh after structural relaxation, with properties calculated at the PBE-GGA level.

a b c (Å): 5.147 5.147 5.147
angles (deg): 147.42 129.57 61.34
Atoms (fractional coordinates):
Zn  0.000  0.000  0.000
Ru  0.237  0.737  0.500
Ru  0.763  0.263  0.500
Rh  0.500  0.500  0.000

energy of formation from the pure elements: 0.1444 eV/atom


Entry 16:
Below is CaDy2Cd after structural relaxation, with properties calculated at the PBE-GGA level.

a b c (Å): 4.991 4.991 4.749
angles (deg): 90.00 90.00 90.00
Atoms (fractional coordinates):
Ca  0.000  0.000  0.000
Dy  0.000  0.500  0.500
Dy  0.500  0.000  0.500
Cd  0.500  0.500  0.000

E above lowest polymorph: 0.137 eV/f.u.
energy of formation from the pure elements: -0.0313 eV/atom


Entry 17:
Below is Sm6TlHg after structural relaxation, with properties calculated at the PBE-GGA level.

a b c (Å): 9.899 9.899 9.899
angles (deg): 149.57 149.57 43.58
Atoms (fractional coordinates):
Sm  0.112  0.612  0.500
Sm  0.250  0.250  0.000
Sm  0.388  0.888  0.500
Sm  0.612  0.112  0.500
Sm  0.750  0.750  0.000
Sm  0.888  0.388  0.500
Tl  0.000  0.000  0.000
Hg  0.500  0.500  0.000

E above lowest polymorph: 0.000 eV/f.u.
energy of formation from the pure elements: -0.1938 eV/atom


Entry 18:
Below is Th4SiBi2 after structural relaxation, with properties calculated at the PBE-GGA level.

a b c (Å): 6.446 6.458 10.457
angles (deg): 90.00 102.91 90.00
Atoms (fractional coordinates):
Th  0.165  0.250  0.119
Th  0.267  0.502  0.740
Th  0.267  0.998  0.740
Th  0.310  0.750  0.419
Th  0.690  0.250  0.581
Th  0.733  0.002  0.260
Th  0.733  0.498  0.260
Th  0.835  0.750  0.881
Si  0.035  0.750  0.159
Si  0.965  0.250  0.841
Bi  0.162  0.250  0.447
Bi  0.375  0.750  0.032
Bi  0.625  0.250  0.968
Bi  0.838  0.750  0.553

uncorrected formation energy: -2.47 eV/f.u.


Entry 19:
Below is Tb2Sm3Dy7 after structural relaxation, with properties calculated at the PBE-GGA level.

a b c (Å): 5.823 3.567 18.759
angles (deg): 90.00 93.17 90.00
Atoms (fractional coordinates):
Tb  0.210  0.000  0.293
Tb  0.790  0.000  0.707
Sm  0.000  0.000  0.000
Sm  0.279  0.500  0.633
Sm  0.721  0.500  0.367
Dy  0.188  0.500  0.143
Dy  0.243  0.000  0.463
Dy  0.309  0.000  0.824
Dy  0.500  0.500  0.000
Dy  0.691  0.000  0.176
Dy  0.757  0.000  0.537
Dy  0.812  0.500  0.857

E above lowest polymorph: 0.061 eV/f.u.
energy of formation from the pure elements: 0.0863 eV/atom


Entry 20:
Below is DyErHf2 after structural relaxation, with properties calculated at the PBE-GGA level.

a b c (Å): 11.066 11.066 11.066
angles (deg): 17.15 17.15 17.15
Atoms (fractional coordinates):
Dy  0.000  0.000  0.000
Er  0.500  0.500  0.500
Hf  0.250  0.250  0.250
Hf  0.750  0.750  0.750

E above lowest polymorph: 0.000 eV/f.u.
energy of formation from the pure elements: 0.1805 eV/atom


Entry 21:
Below is LiAc3Mg8 after structural relaxation, with properties calculated at the PBE-GGA level.

a b c (Å): 10.866 10.866 10.866
angles (deg): 33.63 33.63 33.63
Atoms (fractional coordinates):
Li  0.000  0.000  0.000
Ac  0.371  0.371  0.371
Ac  0.497  0.497  0.497
Ac  0.876  0.876  0.876
Mg  0.186  0.186  0.186
Mg  0.435  0.935  0.935
Mg  0.436  0.436  0.939
Mg  0.436  0.939  0.436
Mg  0.686  0.686  0.686
Mg  0.935  0.435  0.935
Mg  0.935  0.935  0.435
Mg  0.939  0.436  0.436

energy of formation from the pure elements: -0.0693 eV/atom


Entry 22:
Below is Ba3InIr after structural relaxation, with properties calculated at the PBE-GGA level.

a b c (Å): 10.894 6.057 12.613
angles (deg): 90.00 96.53 90.00
Atoms (fractional coordinates):
Ba  0.028  0.080  0.152
Ba  0.028  0.420  0.652
Ba  0.259  0.012  0.439
Ba  0.259  0.488  0.939
Ba  0.429  0.505  0.653
Ba  0.429  0.995  0.153
Ba  0.571  0.005  0.847
Ba  0.571  0.495  0.347
Ba  0.741  0.512  0.061
Ba  0.741  0.988  0.561
Ba  0.972  0.580  0.348
Ba  0.972  0.920  0.848
In  0.262  0.517  0.227
In  0.262  0.983  0.727
In  0.738  0.017  0.273
In  0.738  0.483  0.773
Ir  0.057  0.578  0.083
Ir  0.057  0.922  0.583
Ir  0.943  0.078  0.417
Ir  0.943  0.422  0.917

E above lowest polymorph: 0.000 eV/f.u.
energy of formation from the pure elements: -0.2231 eV/atom


Entry 23:
Below is LiAgW after structural relaxation, with properties calculated at the PBE-GGA level.

a b c (Å): 7.603 7.419 2.696
angles (deg): 83.54 75.83 20.63
Atoms (fractional coordinates):
Li  0.000  0.000  0.000
Ag  0.661  0.661  0.339
W  0.334  0.334  0.666

E above lowest polymorph: 0.000 eV/f.u.
energy of formation from the pure elements: 0.3984 eV/atom


no.,E (eV per atom)
1,-5.13
2,-6.71
3,-1.98
4,-4.68
5,-5.70
6,-3.67
7,-4.34
8,-5.73
9,-3.92
10,-5.16
11,-5.08
12,-5.53
13,-4.71
14,-5.78
15,-6.65
16,-3.06
17,-4.07
18,-6.48
19,-4.55
20,-7.09
21,-2.32
22,-3.70
23,-5.51